Entry 1:
An optimized crystal structure of Ho4CuNi3, computed with GGA-PBE.

## Properties
E_form = -421.0 meV/atom
mass density = 9.3 g cm⁻³
total magnetization = 0.00 μB per cell

Unit cell a=3.6527 b=4.3366 c=10.1161 alpha=90.00 beta=90.00 gamma=90.00
Positions (direct):
Ho 0.0000 0.0000 0.1407
Ho 0.5000 0.5000 0.3666
Ni 0.5000 0.0000 0.9279
Ni 0.0000 0.0000 0.4254
Ni 0.0000 0.5000 0.5751
Cu 0.5000 0.5000 0.0711
Ho 0.0000 0.5000 0.8547
Ho 0.5000 0.0000 0.6384

---

Entry 2:
An optimized crystal structure of AlCrSb2, computed with GGA-PBE.

## Properties
mass density = 6.2 g cm⁻³
raw formation energy = 0.33 eV per atom
total magnetization = 3.71 μB per cell

Unit cell a=5.1668 b=5.1668 c=5.1668 alpha=126.48 beta=126.08 gamma=79.43
Positions (direct):
Cr 0.7500 0.2500 0.5000
Sb 0.5003 0.5003 0.0000
Al 0.2500 0.7500 0.5000
Sb 0.9997 0.9997 0.0000

---

Entry 3:
An optimized crystal structure of TaMn2Tc, computed with GGA-PBE.

## Properties
E_form = 516.3 meV/atom
mass density = 10.6 g cm⁻³
total magnetization = 7.76 μB per cell
relative energy among the computed polymorphs = 580.8 meV/atom

Unit cell a=6.7962 b=6.7962 c=5.4770 alpha=51.65 beta=51.65 gamma=90.00
Positions (direct):
Tc 0.2500 0.7500 0.5000
Tc 0.5000 0.5000 0.0000
Mn 0.6061 0.1250 0.2500
Ta 0.7500 0.2500 0.5000
Ta 0.0000 0.0000 0.0000
Mn 0.1439 0.6250 0.2500
Mn 0.3750 0.3939 0.7500
Mn 0.8750 0.8561 0.7500